(1)
The following is a PBE calculation of crystalline BaNaTa at its relaxed geometry, from the Alexandria database.

size of the total moment: 0.00 μB per formula unit
distance to the lowest polymorph of the same formula: 0.0 kJ/mol of atoms

a = 3.6830 Å, b = 3.6830 Å, c = 15.5540 Å
α = 90.00°, β = 90.00°, γ = 90.00°
Space group P4/nmm (No. 129, origin choice 2)
Asymmetric unit:
Ba 0.2500 0.2500 0.1946
Na 0.2500 0.2500 0.5897
Ta 0.2500 0.2500 0.9683

(2)
The following is a PBE calculation of crystalline Li2Ag6Pd3 at its relaxed geometry, from the Alexandria database.

size of the total moment: 0.00 μB per formula unit
distance to the lowest polymorph of the same formula: 0.0 kJ/mol of atoms

a = 4.9628 Å, b = 6.3288 Å, c = 6.3929 Å
α = 107.17°, β = 97.64°, γ = 104.56°
Space group P-1 (No. 2)
Asymmetric unit:
Li 0.0952 0.3611 0.3233
Ag 0.1811 0.7231 0.1374
Ag 0.2725 0.0945 0.9519
Ag 0.4549 0.8094 0.5879
Pd 0.0000 0.0000 0.5000
Pd 0.3566 0.4552 0.7700